Material: Nd3Ho7Sc2
Method: DFT, GGA-PBE
State: optimized geometry

a = 3.5777 Å, b = 5.5072 Å, c = 20.2067 Å
α = 90.00°, β = 95.09°, γ = 90.00°
With the nearest neighbours (Å) after each atom.
Atoms (fractional coordinates):
Nd 0.0000 0.0000 0.0000  8 Ho 3.28-3.31, 2 Nd 3.58
Nd 0.3291 0.5000 0.6605  4 Sc 3.53, 2 Nd 3.58, 6 Ho 3.74-3.76
Nd 0.6709 0.5000 0.3395  4 Sc 3.53, 2 Nd 3.58, 6 Ho 3.74-3.76
Ho 0.0891 0.5000 0.1761  6 Ho 3.37-3.58, 2 Sc 3.39, 2 Nd 3.74
Ho 0.2153 0.0000 0.4300  1 Sc 3.13, 2 Ho 3.33-3.34
Ho 0.4298 0.0000 0.8617  2 Sc 3.28, 2 Nd 3.31, 6 Ho 3.37-3.58
Ho 0.5000 0.5000 0.0000  4 Nd 3.28, 2 Ho 3.58
Ho 0.5702 0.0000 0.1383  2 Sc 3.28, 2 Nd 3.31, 6 Ho 3.37-3.58
Ho 0.7847 0.0000 0.5700  1 Sc 3.13, 2 Ho 3.33-3.34
Ho 0.9109 0.5000 0.8239  6 Ho 3.37-3.58, 2 Sc 3.39, 2 Nd 3.74
Sc 0.1387 0.0000 0.2747  5 Ho 3.13-3.39
Sc 0.8613 0.0000 0.7253  5 Ho 3.13-3.39

Values from the calculation:
SG	P2/m (10)
VASP energy	-4.68	eV/atom
volume	33.05	A^3/atom